[1]
This record from Alexandria describes a PBEsol-optimized structure of Tc3AgS. The functional is SCAN.

a b c (Å): 4.8678 4.8678 4.8678
angles (deg): 90.00 90.00 90.00
Last column: nearest neighbours and their distance in Å.
Fractional positions:
1 Tc 0.0000 0.0000 0.5000  2 Ag 2.43
2 Tc 0.0000 0.5000 0.0000  2 Ag 2.43
3 Tc 0.5000 0.0000 0.0000  2 Ag 2.43
4 Ag 0.0000 0.0000 0.0000  6 Tc 2.43
5 S 0.5000 0.5000 0.5000  12 Tc 3.44

- calculated volume (Å³/cell) = 115
- space-group type = Pm-3m (221)
- raw total energy (eV per atom) = -26.8251
- ΔE_f (raw) (eV per atom) = 2.4099

---

[2]
This record from Alexandria describes a PBEsol-optimized structure of K2MgH12Se2O14. The functional is SCAN.

a b c (Å): 6.2355 12.2396 9.1387
angles (deg): 90.00 103.35 90.00
Last column: nearest neighbours and their distance in Å.
Fractional positions:
1 K 0.1702 0.1633 0.3633  7 O 2.75-3.00, 1 H 3.00
2 K 0.1702 0.3367 0.8633  7 O 2.75-3.00, 1 H 3.00
3 K 0.8298 0.6633 0.1367  7 O 2.75-3.00, 1 H 3.00
4 K 0.8298 0.8367 0.6367  7 O 2.75-3.00, 1 H 3.00
5 Mg 0.5000 0.0000 0.0000  6 O 2.02-2.12
6 Mg 0.5000 0.5000 0.5000  6 O 2.02-2.12
7 H 0.1559 0.6411 0.4728  1 O 1.01
8 H 0.1559 0.8589 0.9728  1 O 1.01
9 H 0.1588 0.5574 0.6097  1 O 1.00
10 H 0.1588 0.9426 0.1097  1 O 1.00
11 H 0.1790 0.0833 0.7854  1 O 1.00
12 H 0.1790 0.4167 0.2854  1 O 1.00
13 H 0.4079 0.1247 0.7509  1 O 1.00
14 H 0.4079 0.3753 0.2509  1 O 1.00
15 H 0.4172 0.5988 0.2314  1 O 1.01
16 H 0.4172 0.9012 0.7314  1 O 1.01
17 H 0.4973 0.6911 0.3560  1 O 1.00
18 H 0.4973 0.8089 0.8560  1 O 1.00
19 H 0.5027 0.1911 0.1440  1 O 1.00
20 H 0.5027 0.3089 0.6440  1 O 1.00
21 H 0.5828 0.0988 0.2686  1 O 1.01
22 H 0.5828 0.4012 0.7686  1 O 1.01
23 H 0.5921 0.6247 0.7491  1 O 1.00
24 H 0.5921 0.8753 0.2491  1 O 1.00
25 H 0.8210 0.5833 0.7146  1 O 1.00
26 H 0.8210 0.9167 0.2146  1 O 1.00
27 H 0.8412 0.0574 0.8903  1 O 1.00
28 H 0.8412 0.4426 0.3903  1 O 1.00
29 H 0.8441 0.1411 0.0272  1 O 1.01
30 H 0.8441 0.3589 0.5272  1 O 1.01
31 Se 0.2191 0.6353 0.9116  4 O 1.65-1.68
32 Se 0.2191 0.8647 0.4116  4 O 1.65-1.68
33 Se 0.7809 0.1353 0.5884  4 O 1.65-1.68
34 Se 0.7809 0.3647 0.0884  4 O 1.65-1.68
35 O 0.0533 0.7431 0.9062  1 H 1.61, 1 Se 1.67
36 O 0.0533 0.7569 0.4062  1 H 1.61, 1 Se 1.67
37 O 0.0971 0.5507 0.7735  2 H 1.63-1.73, 1 Se 1.67
38 O 0.0971 0.9493 0.2735  2 H 1.63-1.73, 1 Se 1.67
39 O 0.2091 0.5673 0.5139  2 H 1.00-1.01
40 O 0.2091 0.9327 0.0139  2 H 1.00-1.01
41 O 0.2448 0.5705 0.0737  1 H 1.62, 1 Se 1.65
42 O 0.2448 0.9295 0.5737  1 H 1.62, 1 Se 1.65
43 O 0.3318 0.1088 0.8334  2 H 1.00
44 O 0.3318 0.3912 0.3334  2 H 1.00
45 O 0.4656 0.6752 0.8870  1 Se 1.68, 2 H 1.68-1.75
46 O 0.4656 0.8248 0.3870  1 Se 1.68, 2 H 1.68-1.75
47 O 0.4751 0.1135 0.1699  2 H 1.00-1.01
48 O 0.4751 0.3865 0.6699  2 H 1.00-1.01
49 O 0.5249 0.6135 0.3301  2 H 1.00-1.01
50 O 0.5249 0.8865 0.8301  2 H 1.00-1.01
51 O 0.5344 0.1752 0.6130  1 Se 1.68, 2 H 1.68-1.75
52 O 0.5344 0.3248 0.1130  1 Se 1.68, 2 H 1.68-1.75
53 O 0.6682 0.6088 0.6666  2 H 1.00
54 O 0.6682 0.8912 0.1666  2 H 1.00
55 O 0.7552 0.0705 0.4263  1 H 1.62, 1 Se 1.65
56 O 0.7552 0.4295 0.9263  1 H 1.62, 1 Se 1.65
57 O 0.7909 0.0673 0.9861  2 H 1.00-1.01
58 O 0.7909 0.4327 0.4861  2 H 1.00-1.01
59 O 0.9029 0.0507 0.7265  2 H 1.63-1.73, 1 Se 1.67
60 O 0.9029 0.4493 0.2265  2 H 1.63-1.73, 1 Se 1.67
61 O 0.9467 0.2431 0.5938  1 H 1.61, 1 Se 1.67
62 O 0.9467 0.2569 0.0938  1 H 1.61, 1 Se 1.67

- calculated volume (Å³/cell) = 679
- space-group type = P2_1/c (14)
- raw total energy (eV per atom) = -7.4425

---

[3]
This record from Alexandria describes a PBEsol-optimized structure of Ni2Pt. The functional is SCAN.

a b c (Å): 7.5710 2.6368 7.7528
angles (deg): 90.00 109.93 90.00
Last column: nearest neighbours and their distance in Å.
Fractional positions:
1 Ni 0.0000 0.0000 0.0000  9 Ni 2.45-2.64, 3 Pt 2.51-2.57
2 Ni 0.0023 0.0000 0.3252  7 Ni 2.47-2.64, 5 Pt 2.62-2.73
3 Ni 0.2331 0.5000 0.2352  10 Ni 2.45-2.66, 2 Pt 2.56
4 Ni 0.2354 0.5000 0.5796  4 Pt 2.50-2.52, 8 Ni 2.52-2.66
5 Ni 0.2480 0.5000 0.9231  10 Ni 2.42-2.64, 2 Pt 2.53
6 Ni 0.4776 0.0000 0.8256  9 Ni 2.50-2.64, 3 Pt 2.56-2.57
7 Ni 0.4792 0.0000 0.1535  7 Ni 2.42-2.64, 5 Pt 2.62-2.65
8 Ni 0.7353 0.5000 0.7448  6 Pt 2.48-2.64, 6 Ni 2.60-2.64
9 Pt 0.0026 0.0000 0.6772  8 Ni 2.51-2.73, 4 Pt 2.64-2.69
10 Pt 0.4725 0.0000 0.4932  8 Ni 2.50-2.65, 4 Pt 2.64-2.70
11 Pt 0.7390 0.5000 0.0654  9 Ni 2.48-2.65, 3 Pt 2.63-2.64
12 Pt 0.7413 0.5000 0.4059  5 Ni 2.62-2.64, 7 Pt 2.63-2.70

- calculated volume (Å³/cell) = 146
- energy of formation (eV/atom) = -0.091
- space-group type = Pm (6)
- raw total energy (eV per atom) = -34.2705

---

[4]
This record from Alexandria describes a PBEsol-optimized structure of YBiO2. The functional is SCAN.

a b c (Å): 3.4803 3.4803 20.5782
angles (deg): 90.00 90.00 120.00
Last column: nearest neighbours and their distance in Å.
Fractional positions:
1 Y 0.0000 0.0000 0.0000  6 O 2.27
2 Y 0.3333 0.6667 0.6667  6 O 2.27
3 Y 0.6667 0.3333 0.3333  6 O 2.27
4 Bi 0.0000 0.0000 0.5000  2 O 2.37
5 Bi 0.3333 0.6667 0.1667  2 O 2.37
6 Bi 0.6667 0.3333 0.8333  2 O 2.37
7 O 0.0000 0.0000 0.3848  3 Y 2.27, 1 Bi 2.37
8 O 0.0000 0.0000 0.6152  3 Y 2.27, 1 Bi 2.37
9 O 0.3333 0.6667 0.0514  3 Y 2.27, 1 Bi 2.37
10 O 0.3333 0.6667 0.2819  3 Y 2.27, 1 Bi 2.37
11 O 0.6667 0.3333 0.7181  3 Y 2.27, 1 Bi 2.37
12 O 0.6667 0.3333 0.9486  3 Y 2.27, 1 Bi 2.37

- calculated volume (Å³/cell) = 216
- space-group type = R-3m (166)
- raw total energy (eV per atom) = -32.3128
- ΔE_f (raw) (eV per atom) = -2.5915

---

[5]
This record from Alexandria describes a PBEsol-optimized structure of Te2Se. The functional is SCAN.

a b c (Å): 4.0816 4.0816 11.5757
angles (deg): 90.00 90.00 120.00
Last column: nearest neighbours and their distance in Å.
Fractional positions:
1 Te 0.3333 0.6667 0.0810  3 Te 3.01, 3 Se 3.06
2 Te 0.3333 0.6667 0.4190  3 Te 3.01, 3 Se 3.06
3 Te 0.6667 0.3333 0.5810  3 Te 3.01, 3 Se 3.06
4 Te 0.6667 0.3333 0.9190  3 Te 3.01, 3 Se 3.06
5 Se 0.0000 0.0000 0.2500  6 Te 3.06
6 Se 0.0000 0.0000 0.7500  6 Te 3.06

- calculated volume (Å³/cell) = 167
- space-group type = P6_3/mmc (194)
- raw total energy (eV per atom) = -31.4567
- ΔE_f (raw) (eV per atom) = 0.0702

---

[6]
This record from Alexandria describes a PBEsol-optimized structure of Cs2VF6. The functional is SCAN.

a b c (Å): 7.8735 7.8735 7.2800
angles (deg): 90.00 90.00 134.71
Last column: nearest neighbours and their distance in Å.
Fractional positions:
1 Cs 0.0463 0.9537 0.7500  11 F 3.04-3.21
2 Cs 0.2735 0.7265 0.2500  11 F 3.06-3.16
3 Cs 0.7265 0.2735 0.7500  11 F 3.06-3.16
4 Cs 0.9537 0.0463 0.2500  11 F 3.04-3.21
5 V 0.3841 0.6159 0.7500  6 F 1.82-1.86
6 V 0.6159 0.3841 0.2500  6 F 1.82-1.86
7 F 0.1612 0.3981 0.5716  1 V 1.86
8 F 0.1612 0.3981 0.9284  1 V 1.86
9 F 0.2558 0.7442 0.7500  1 V 1.86
10 F 0.3981 0.1612 0.0716  1 V 1.86
11 F 0.3981 0.1612 0.4284  1 V 1.86
12 F 0.4910 0.5090 0.2500  1 V 1.82
13 F 0.5090 0.4910 0.7500  1 V 1.82
14 F 0.6019 0.8388 0.5716  1 V 1.86
15 F 0.6019 0.8388 0.9284  1 V 1.86
16 F 0.7442 0.2558 0.2500  1 V 1.86
17 F 0.8388 0.6019 0.0716  1 V 1.86
18 F 0.8388 0.6019 0.4284  1 V 1.86

- calculated volume (Å³/cell) = 321
- space-group type = Cmcm (63)
- raw total energy (eV per atom) = -15.8947
- ΔE_f (raw) (eV per atom) = -3.1892

---

[7]
This record from Alexandria describes a PBEsol-optimized structure of TlTcNi2. The functional is SCAN.

a b c (Å): 2.7931 2.7931 7.1741
angles (deg): 90.00 90.00 90.00
Last column: nearest neighbours and their distance in Å.
Fractional positions:
1 Tl 0.0000 0.0000 0.0000  4 Tl 2.79, 8 Ni 2.79
2 Tc 0.0000 0.0000 0.5000  8 Ni 2.55, 4 Tc 2.79
3 Ni 0.5000 0.5000 0.2754  4 Tc 2.55, 4 Ni 2.79, 4 Tl 2.79
4 Ni 0.5000 0.5000 0.7246  4 Tc 2.55, 4 Ni 2.79, 4 Tl 2.79

- calculated volume (Å³/cell) = 56
- energy of formation (eV/atom) = 0.382
- space-group type = P4/mmm (123)
- raw total energy (eV per atom) = -34.5592

---

[8]
This record from Alexandria describes a PBEsol-optimized structure of BePtRh2. The functional is SCAN.

a b c (Å): 2.7099 3.8890 4.9634
angles (deg): 90.00 102.83 90.00
Last column: nearest neighbours and their distance in Å.
Fractional positions:
1 Be 0.0000 0.0000 0.0000  4 Rh 2.36, 2 Pt 2.48
2 Pt 0.0000 0.0000 0.5000  2 Be 2.48, 8 Rh 2.68-2.73, 2 Pt 2.71
3 Rh 0.3704 0.5000 0.2307  2 Be 2.36, 2 Rh 2.54-2.61
4 Rh 0.6296 0.5000 0.7693  2 Be 2.36, 2 Rh 2.54-2.61

- calculated volume (Å³/cell) = 51
- energy of formation (eV/atom) = -0.248
- space-group type = P2/m (10)
- raw total energy (eV per atom) = -35.7704

---

[9]
This record from Alexandria describes a PBEsol-optimized structure of Ni2OsRh. The functional is SCAN.

a b c (Å): 2.5620 4.2689 4.5686
angles (deg): 90.00 92.65 90.00
Last column: nearest neighbours and their distance in Å.
Fractional positions:
1 Ni 0.2496 0.0000 0.2428  2 Os 2.50, 6 Ni 2.51-2.73, 2 Rh 2.53
2 Ni 0.7504 0.0000 0.7572  2 Os 2.50, 6 Ni 2.51-2.73, 2 Rh 2.53
3 Os 0.5000 0.5000 0.0000  4 Ni 2.50, 2 Os 2.56, 4 Rh 2.57-2.67
4 Rh 0.0000 0.5000 0.5000  4 Ni 2.53, 2 Rh 2.56, 4 Os 2.57-2.67

- calculated volume (Å³/cell) = 50
- energy of formation (eV/atom) = 0.332
- space-group type = P2/m (10)
- raw total energy (eV per atom) = -34.1676

---

[10]
This record from Alexandria describes a PBEsol-optimized structure of Li2SbSO4F3. The functional is SCAN.

a b c (Å): 4.7384 9.5497 12.7921
angles (deg): 90.00 90.00 90.00
Last column: nearest neighbours and their distance in Å.
Fractional positions:
1 Li 0.0826 0.2373 0.0935  4 F 1.96-2.16, 1 O 2.08
2 Li 0.1787 0.5103 0.7255  3 O 1.93-2.02, 1 F 1.97
3 Li 0.3213 0.4897 0.2255  3 O 1.93-2.02, 1 F 1.97
4 Li 0.4174 0.7627 0.5935  4 F 1.96-2.16, 1 O 2.08
5 Li 0.5826 0.2627 0.9065  4 F 1.96-2.16, 1 O 2.08
6 Li 0.6787 0.9897 0.2745  3 O 1.93-2.02, 1 F 1.97
7 Li 0.8213 0.0103 0.7745  3 O 1.93-2.02, 1 F 1.97
8 Li 0.9174 0.7373 0.4065  4 F 1.96-2.16, 1 O 2.08
9 Sb 0.1194 0.5335 0.9804  3 F 2.00-2.07
10 Sb 0.3806 0.4665 0.4804  3 F 2.00-2.07
11 Sb 0.6194 0.9665 0.0196  3 F 2.00-2.07
12 Sb 0.8806 0.0335 0.5196  3 F 2.00-2.07
13 S 0.1537 0.8149 0.1722  4 O 1.46-1.51
14 S 0.3463 0.1851 0.6722  4 O 1.46-1.51
15 S 0.6537 0.6851 0.8278  4 O 1.46-1.51
16 S 0.8463 0.3149 0.3278  4 O 1.46-1.51
17 O 0.0048 0.8365 0.0695  1 S 1.50
18 O 0.0409 0.3316 0.2392  1 S 1.47
19 O 0.1209 0.0740 0.6801  1 S 1.51
20 O 0.2158 0.3241 0.6683  1 S 1.46
21 O 0.2842 0.6759 0.1683  1 S 1.46
22 O 0.3791 0.9260 0.1801  1 S 1.51
23 O 0.4591 0.6684 0.7392  1 S 1.47
24 O 0.4952 0.1635 0.5695  1 S 1.50
25 O 0.5048 0.6635 0.9305  1 S 1.50
26 O 0.5409 0.1684 0.7608  1 S 1.47
27 O 0.6209 0.4260 0.3199  1 S 1.51
28 O 0.7158 0.1759 0.3317  1 S 1.46
29 O 0.7842 0.8241 0.8317  1 S 1.46
30 O 0.8791 0.5740 0.8199  1 S 1.51
31 O 0.9591 0.8316 0.2608  1 S 1.47
32 O 0.9952 0.3365 0.4305  1 S 1.50
33 F 0.1227 0.8535 0.5104  2 Li 1.96-1.99, 1 Sb 2.07
34 F 0.1453 0.5817 0.5819  2 Li 1.97-2.16, 1 Sb 2.03
35 F 0.1870 0.5849 0.3734  2 Li 1.98-2.19, 1 Sb 2.00
36 F 0.3130 0.4151 0.8734  2 Li 1.98-2.19, 1 Sb 2.00
37 F 0.3547 0.4183 0.0819  2 Li 1.97-2.16, 1 Sb 2.03
38 F 0.3773 0.1465 0.0104  2 Li 1.96-1.99, 1 Sb 2.07
39 F 0.6227 0.6465 0.4896  2 Li 1.96-1.99, 1 Sb 2.07
40 F 0.6453 0.9183 0.4181  2 Li 1.97-2.16, 1 Sb 2.03
41 F 0.6870 0.9151 0.6266  2 Li 1.98-2.19, 1 Sb 2.00
42 F 0.8130 0.0849 0.1266  2 Li 1.98-2.19, 1 Sb 2.00
43 F 0.8547 0.0817 0.9181  2 Li 1.97-2.16, 1 Sb 2.03
44 F 0.8773 0.3535 0.9896  2 Li 1.96-1.99, 1 Sb 2.07

- calculated volume (Å³/cell) = 579
- space-group type = P2_12_12_1 (19)
- raw total energy (eV per atom) = -10.1418
- ΔE_f (raw) (eV per atom) = -2.2134

---

| no. | magnetization (μB per cell) |
| --- | --- |
| 1 | 12.015 |
| 2 | 0.517 |
| 3 | 7.918 |
| 4 | 0.000 |
| 5 | 0.000 |
| 6 | 2.000 |
| 7 | 0.000 |
| 8 | 0.000 |
| 9 | 0.008 |
| 10 | 0.000 |